! PBEsol Na2Er2B2TeO10, optimized geometry; values from VASP
! - crystal system = monoclinic
! - magnetization (μB per formula unit) = 0.0
! - formation energy from raw total energies (kJ/mol of formula units) = -4078
&SYSTEM
  ibrav = 0, nat = 34, ntyp = 5
/
ATOMIC_SPECIES
Na 22.99 Na.upf
Er 167.26 Er.upf
B 10.81 B.upf
Te 127.60 Te.upf
O 16.00 O.upf
CELL_PARAMETERS angstrom
-2.222 -2.041 -5.509
-1.120 -5.119 4.138
-8.853 3.712 2.195
ATOMIC_POSITIONS crystal
Na 0.584 0.170 0.388
Na 0.416 0.330 0.888
Na 0.416 0.830 0.612
Na 0.584 0.670 0.112
Er 0.126 0.023 0.166
Er 0.874 0.477 0.666
Er 0.874 0.977 0.834
Er 0.126 0.523 0.334
B 0.338 0.372 0.599
B 0.662 0.128 0.099
B 0.662 0.628 0.401
B 0.338 0.872 0.901
Te 0.000 0.000 0.500
Te 0.000 0.500 0.000
O 0.477 0.051 0.170
O 0.523 0.449 0.670
O 0.523 0.949 0.830
O 0.477 0.551 0.330
O 0.994 0.179 0.348
O 0.006 0.321 0.848
O 0.006 0.821 0.652
O 0.994 0.679 0.152
O 0.293 0.161 0.562
O 0.707 0.339 0.062
O 0.707 0.839 0.438
O 0.293 0.661 0.938
O 0.805 0.010 0.061
O 0.195 0.490 0.561
O 0.195 0.990 0.939
O 0.805 0.510 0.439
O 0.838 0.137 0.619
O 0.162 0.363 0.119
O 0.162 0.863 0.381
O 0.838 0.637 0.881